SmTh2NiN4 | PBE-GGA | relaxed

Summary:
- formation energy without anion corrections (eV per atom) = -1.161
- V (Å³ per cell) = 248.1

Unit cell a=3.5536 b=6.1450 c=11.8705 alpha=90.00 beta=90.00 gamma=106.81
Closest atoms and distances in Å follow each position.
Element x y z (fractional)
Sm  0.1065  0.2130  0.7500  6 N 2.54-2.75
Sm  0.8935  0.7870  0.2500  6 N 2.54-2.75
Th  0.3687  0.7374  0.5601  6 N 2.45-2.52
Th  0.6313  0.2626  0.0601  6 N 2.45-2.52
Th  0.6313  0.2626  0.4399  6 N 2.45-2.52
Th  0.3687  0.7374  0.9399  6 N 2.45-2.52
Ni  0.8428  0.6855  0.7500  4 N 2.02-2.20
Ni  0.1572  0.3145  0.2500  4 N 2.02-2.20
N  0.2700  0.5400  0.1220  1 Ni 2.02
N  0.7300  0.4600  0.6220  1 Ni 2.02
N  0.7300  0.4600  0.8780  1 Ni 2.02
N  0.2700  0.5400  0.3780  1 Ni 2.02
N  0.0000  0.0000  0.5000  4 Th 2.46
N  0.0000  0.0000  0.0000  4 Th 2.46
N  0.4528  0.9056  0.7500  2 Ni 2.20, 2 Th 2.46
N  0.5472  0.0944  0.2500  2 Ni 2.20, 2 Th 2.46

***

NiSn2N2 | PBE-GGA | relaxed

Summary:
- formation energy without anion corrections (eV per atom) = 0.282
- V (Å³ per cell) = 305.0

Unit cell a=3.4158 b=7.3322 c=12.1798 alpha=90.00 beta=90.00 gamma=90.00
Closest atoms and distances in Å follow each position.
Element x y z (fractional)
Ni  0.2500  0.7759  0.3702  2 N 1.88-1.94
Ni  0.2500  0.2759  0.1298  2 N 1.88-1.94
Ni  0.7500  0.2241  0.6298  2 N 1.88-1.94
Ni  0.7500  0.7241  0.8702  2 N 1.88-1.94
Sn  0.2500  0.6382  0.0856  3 N 2.18-2.21
Sn  0.2500  0.1382  0.4144  3 N 2.18-2.21
Sn  0.7500  0.3618  0.9144  3 N 2.18-2.21
Sn  0.7500  0.8618  0.5856  3 N 2.18-2.21
Sn  0.2500  0.9994  0.8465  3 N 2.20-2.23
Sn  0.2500  0.4994  0.6535  3 N 2.20-2.23
Sn  0.7500  0.0006  0.1535  3 N 2.20-2.23
Sn  0.7500  0.5006  0.3465  3 N 2.20-2.23
N  0.2500  0.7083  0.5242  1 Ni 1.94
N  0.2500  0.2083  0.9758  1 Ni 1.94
N  0.7500  0.2917  0.4758  1 Ni 1.94
N  0.7500  0.7917  0.0242  1 Ni 1.94
N  0.2500  0.8401  0.2208  1 Ni 1.88
N  0.2500  0.3401  0.2792  1 Ni 1.88
N  0.7500  0.1599  0.7792  1 Ni 1.88
N  0.7500  0.6599  0.7208  1 Ni 1.88

***

Ni4Sn2N | PBE-GGA | relaxed

Summary:
- formation energy without anion corrections (eV per atom) = -0.084
- V (Å³ per cell) = 97.0

Unit cell a=3.8119 b=3.8119 c=7.1989 alpha=74.65 beta=74.65 gamma=90.00
Closest atoms and distances in Å follow each position.
Element x y z (fractional)
Ni  0.1374  0.1374  0.7251  1 N 1.83
Ni  0.8626  0.8626  0.2749  1 N 1.83
Ni  0.0000  0.5000  0.0000  2 N 1.91
Ni  0.5000  0.0000  0.0000  2 N 1.91
Sn  0.3318  0.3318  0.3365  5 Ni 2.59-2.73
Sn  0.6682  0.6682  0.6635  5 Ni 2.59-2.73
N  0.0000  0.0000  0.0000  6 Ni 1.83-1.91

***

NiSn3N | PBE-GGA | relaxed

Summary:
- formation energy without anion corrections (eV per atom) = 0.688
- V (Å³ per cell) = 100.7

Unit cell a=4.6519 b=4.6519 c=4.6519 alpha=90.00 beta=90.00 gamma=90.00
Closest atoms and distances in Å follow each position.
Element x y z (fractional)
Ni  0.5000  0.5000  0.5000  12 Sn 3.29
Sn  0.0000  0.5000  0.0000  2 N 2.33
Sn  0.0000  0.0000  0.5000  2 N 2.33
Sn  0.5000  0.0000  0.0000  2 N 2.33
N  0.0000  0.0000  0.0000  6 Sn 2.33

***

NiSnN2 | PBE-GGA | relaxed

Summary:
- formation energy without anion corrections (eV per atom) = 0.640
- V (Å³ per cell) = 48.8

Unit cell a=6.3446 b=6.3446 c=6.3446 alpha=27.71 beta=27.71 gamma=27.71
Closest atoms and distances in Å follow each position.
Element x y z (fractional)
Ni  0.5000  0.5000  0.5000  6 N 1.97
Sn  0.0000  0.0000  0.0000  2 N 2.16
N  0.8820  0.8820  0.8820  3 Ni 1.97, 1 Sn 2.16
N  0.1180  0.1180  0.1180  3 Ni 1.97, 1 Sn 2.16

***

Ni9Sn3N2 | PBE-GGA | relaxed

Summary:
- formation energy without anion corrections (eV per atom) = -0.006
- V (Å³ per cell) = 342.9

Unit cell a=5.4595 b=5.4595 c=13.2824 alpha=90.00 beta=90.00 gamma=120.00
Closest atoms and distances in Å follow each position.
Element x y z (fractional)
Ni  0.4974  0.9949  0.7500  2 N 2.00
Ni  0.0051  0.5026  0.7500  2 N 2.00
Ni  0.4974  0.5026  0.7500  2 N 2.00
Ni  0.5026  0.0051  0.2500  2 N 2.00
Ni  0.9949  0.4974  0.2500  2 N 2.00
Ni  0.5026  0.4974  0.2500  2 N 2.00
Ni  0.1649  0.3297  0.9183  1 N 1.86
Ni  0.6703  0.8351  0.9183  1 N 1.86
Ni  0.1649  0.8351  0.9183  1 N 1.86
Ni  0.8351  0.6703  0.0817  1 N 1.86
Ni  0.3297  0.1649  0.0817  1 N 1.86
Ni  0.8351  0.1649  0.0817  1 N 1.86
Ni  0.8351  0.6703  0.4183  1 N 1.86
Ni  0.3297  0.1649  0.4183  1 N 1.86
Ni  0.8351  0.1649  0.4183  1 N 1.86
Ni  0.1649  0.3297  0.5817  1 N 1.86
Ni  0.6703  0.8351  0.5817  1 N 1.86
Ni  0.1649  0.8351  0.5817  1 N 1.86
Sn  0.0000  0.0000  0.7500  12 Ni 2.73
Sn  0.0000  0.0000  0.2500  12 Ni 2.73
Sn  0.6667  0.3333  0.9149  12 Ni 2.71-2.73
Sn  0.3333  0.6667  0.0851  12 Ni 2.71-2.73
Sn  0.3333  0.6667  0.4149  12 Ni 2.71-2.73
Sn  0.6667  0.3333  0.5851  12 Ni 2.71-2.73
N  0.6667  0.3333  0.1547  6 Ni 1.86-2.00
N  0.3333  0.6667  0.8453  6 Ni 1.86-2.00
N  0.3333  0.6667  0.6547  6 Ni 1.86-2.00
N  0.6667  0.3333  0.3453  6 Ni 1.86-2.00

***

> Which formula does entry 5 have?

NiSnN2